Ho2NiB4O10 | PBE with a Hubbard U | relaxed

```
Ho2NiB4O10
1.0
-2.852 -0.820 -6.639
3.189 -3.075 -0.990
-5.445 -6.983 3.201
O Ho B Ni
20 4 8 2
Direct
0.391 0.752 0.039
0.330 0.328 0.205
0.793 0.666 0.037
0.707 0.666 0.537
0.109 0.752 0.539
0.096 0.778 0.833
0.830 0.672 0.295
0.207 0.334 0.963
0.408 0.679 0.643
0.670 0.672 0.795
0.891 0.248 0.461
0.293 0.334 0.463
0.596 0.222 0.667
0.592 0.321 0.357
0.092 0.679 0.143
0.170 0.328 0.705
0.609 0.248 0.961
0.904 0.222 0.167
0.404 0.778 0.333
0.908 0.321 0.857
0.899 0.996 0.665
0.101 0.004 0.335
0.601 0.996 0.165
0.399 0.004 0.835
0.096 0.465 0.839
0.765 0.470 0.415
0.596 0.535 0.661
0.735 0.470 0.915
0.904 0.535 0.161
0.265 0.530 0.085
0.404 0.465 0.339
0.235 0.530 0.585
0.000 0.000 0.000
0.500 0.000 0.500
```

## Properties
For the total energy, the calculation gives -7.8811 eV per atom. Its space group is P2_1/c (14).